# CePm6Y5 | Alexandria via LeMat-Bulk | GGA-PBE | relaxed
# E_form, kJ/mol of atoms: 4
# Size of the total moment, μB per cell: 2.3
# Electronic total energy, eV/atom: -5.527
data_CePm6Y5
_chemical_formula_sum 'Ce2 Pm12 Y10'
_cell_length_a 5.122
_cell_length_b 10.189
_cell_length_c 15.312
_cell_angle_alpha 90.00
_cell_angle_beta 90.00
_cell_angle_gamma 90.00
_symmetry_space_group_name_H-M 'I m m m'
_symmetry_Int_Tables_number 71
_symmetry_space_group_name_Hall '-I 2 2'
loop_
_atom_site_label
_atom_site_type_symbol
_atom_site_fract_x
_atom_site_fract_y
_atom_site_fract_z
_atom_site_occupancy
Ce1 Ce 0.000 0.000 0.000 1
Pm1 Pm 0.000 0.249 0.165 1
Pm2 Pm 0.000 0.252 0.500 1
Y1 Y 0.000 0.000 0.333 1
Y2 Y 0.000 0.500 0.000 1
Y3 Y 0.000 0.500 0.334 1

=====

# Ce4PmY | Alexandria via LeMat-Bulk | GGA-PBE | relaxed
# E_form, kJ/mol of atoms: 19
# Size of the total moment, μB per cell: 17.9
# Electronic total energy, eV/atom: -5.623
data_Ce4PmY
_chemical_formula_sum 'Ce16 Pm4 Y4'
_cell_length_a 8.989
_cell_length_b 8.989
_cell_length_c 8.989
_cell_angle_alpha 90.00
_cell_angle_beta 90.00
_cell_angle_gamma 90.00
_symmetry_space_group_name_H-M 'F -4 3 m'
_symmetry_Int_Tables_number 216
_symmetry_space_group_name_Hall 'F -4 2 3'
loop_
_atom_site_label
_atom_site_type_symbol
_atom_site_fract_x
_atom_site_fract_y
_atom_site_fract_z
_atom_site_occupancy
Ce1 Ce 0.121 0.121 0.121 1
Pm1 Pm 0.000 0.000 0.500 1
Y1 Y 0.250 0.250 0.750 1

=====

# CePm6Y10 | Alexandria via LeMat-Bulk | GGA-PBE | relaxed
# E_form, kJ/mol of atoms: 13
# Size of the total moment, μB per cell: 1.3
# Electronic total energy, eV/atom: -5.691
data_CePm6Y10
_chemical_formula_sum 'Ce1 Pm6 Y10'
_cell_length_a 9.7378
_cell_length_b 9.7378
_cell_length_c 6.9515
_cell_angle_alpha 90.00
_cell_angle_beta 90.00
_cell_angle_gamma 120.00
_symmetry_space_group_name_H-M 'P -3 1 m'
_symmetry_Int_Tables_number 162
_symmetry_space_group_name_Hall '-P 3 2'
loop_
_atom_site_label
_atom_site_type_symbol
_atom_site_fract_x
_atom_site_fract_y
_atom_site_fract_z
_atom_site_occupancy
Ce1 Ce 0.0000 0.0000 0.0000 1
Pm1 Pm 0.0000 0.3799 0.7989 1
Y1 Y 0.0000 0.2711 0.3152 1
Y2 Y 0.3333 0.6667 0.0000 1
Y3 Y 0.3333 0.6667 0.5000 1

=====

# CePm14Y | Alexandria via LeMat-Bulk | GGA-PBE | relaxed
# E_form, kJ/mol of atoms: 3
# Size of the total moment, μB per cell: 1.1
# Electronic total energy, eV/atom: -4.902
data_CePm14Y
_chemical_formula_sum 'Ce1 Pm14 Y1'
_cell_length_a 7.284
_cell_length_b 7.284
_cell_length_c 10.294
_cell_angle_alpha 90.00
_cell_angle_beta 90.00
_cell_angle_gamma 90.00
_symmetry_space_group_name_H-M 'P 4/m m m'
_symmetry_Int_Tables_number 123
_symmetry_space_group_name_Hall '-P 4 2'
loop_
_atom_site_label
_atom_site_type_symbol
_atom_site_fract_x
_atom_site_fract_y
_atom_site_fract_z
_atom_site_occupancy
Ce1 Ce 0.000 0.000 0.000 1
Pm1 Pm 0.000 0.000 0.500 1
Pm2 Pm 0.000 0.500 0.000 1
Pm3 Pm 0.000 0.500 0.500 1
Pm4 Pm 0.249 0.249 0.248 1
Pm5 Pm 0.500 0.500 0.500 1
Y1 Y 0.500 0.500 0.000 1

=====

# CePm12Y7 | Alexandria via LeMat-Bulk | GGA-PBE | relaxed
# E_form, kJ/mol of atoms: 10
# Size of the total moment, μB per cell: 4.0
# Energy above the lowest structure with this stoichiometry, eV per atom: 0.000
# Electronic total energy, eV/atom: -5.311
data_CePm12Y7
_chemical_formula_sum 'Ce3 Pm36 Y21'
_cell_length_a 13.5272
_cell_length_b 13.5272
_cell_length_c 12.6834
_cell_angle_alpha 90.00
_cell_angle_beta 90.00
_cell_angle_gamma 120.00
_symmetry_space_group_name_H-M 'R -3 m'
_symmetry_Int_Tables_number 166
_symmetry_space_group_name_Hall '-R 3 2"'
loop_
_atom_site_label
_atom_site_type_symbol
_atom_site_fract_x
_atom_site_fract_y
_atom_site_fract_z
_atom_site_occupancy
Ce1 Ce 0.0000 0.0000 0.0000 1
Pm1 Pm 0.0000 0.2577 0.0000 1
Pm2 Pm 0.0440 0.5220 0.1152 1
Y1 Y 0.0000 0.0000 0.5000 1
Y2 Y 0.0879 0.1759 0.7639 1

=====

# CePmY4 | Alexandria via LeMat-Bulk | GGA-PBE | relaxed
# E_form, kJ/mol of atoms: 6
# Size of the total moment, μB per cell: 2.4
# Electronic total energy, eV/atom: -6.033
data_CePmY4
_chemical_formula_sum 'Ce2 Pm2 Y8'
_cell_length_a 11.866
_cell_length_b 3.568
_cell_length_c 10.196
_cell_angle_alpha 90.00
_cell_angle_beta 115.50
_cell_angle_gamma 90.00
_symmetry_space_group_name_H-M 'C 1 2/m 1'
_symmetry_Int_Tables_number 12
_symmetry_space_group_name_Hall '-C 2y'
loop_
_atom_site_label
_atom_site_type_symbol
_atom_site_fract_x
_atom_site_fract_y
_atom_site_fract_z
_atom_site_occupancy
Ce1 Ce 0.000 0.000 0.000 1
Pm1 Pm 0.000 0.000 0.500 1
Y1 Y 0.166 0.500 0.330 1
Y2 Y 0.167 0.500 0.837 1

=====

# CePm6Y | Alexandria via LeMat-Bulk | GGA-PBE | relaxed
# E_form, kJ/mol of atoms: 5
# Size of the total moment, μB per cell: 1.0
# Energy above the lowest structure with this stoichiometry, eV per atom: 0.000
# Electronic total energy, eV/atom: -5.065
data_CePm6Y
_chemical_formula_sum 'Ce1 Pm6 Y1'
_cell_length_a 5.129
_cell_length_b 5.129
_cell_length_c 10.247
_cell_angle_alpha 90.00
_cell_angle_beta 90.00
_cell_angle_gamma 90.00
_symmetry_space_group_name_H-M 'P 4/m m m'
_symmetry_Int_Tables_number 123
_symmetry_space_group_name_Hall '-P 4 2'
loop_
_atom_site_label
_atom_site_type_symbol
_atom_site_fract_x
_atom_site_fract_y
_atom_site_fract_z
_atom_site_occupancy
Ce1 Ce 0.000 0.000 0.000 1
Pm1 Pm 0.000 0.500 0.248 1
Pm2 Pm 0.500 0.500 0.000 1
Pm3 Pm 0.500 0.500 0.500 1
Y1 Y 0.000 0.000 0.500 1

=====

# CePm6Y12 | Alexandria via LeMat-Bulk | GGA-PBE | relaxed
# E_form, kJ/mol of atoms: 20
# Size of the total moment, μB per cell: 0.9
# Electronic total energy, eV/atom: -5.688
data_CePm6Y12
_chemical_formula_sum 'Ce3 Pm18 Y36'
_cell_length_a 13.4209
_cell_length_b 13.4209
_cell_length_c 12.5036
_cell_angle_alpha 90.00
_cell_angle_beta 90.00
_cell_angle_gamma 120.00
_symmetry_space_group_name_H-M 'R -3 m'
_symmetry_Int_Tables_number 166
_symmetry_space_group_name_Hall '-R 3 2"'
loop_
_atom_site_label
_atom_site_type_symbol
_atom_site_fract_x
_atom_site_fract_y
_atom_site_fract_z
_atom_site_occupancy
Ce1 Ce 0.0000 0.0000 0.0000 1
Pm1 Pm 0.0409 0.5205 0.6192 1
Y1 Y 0.0000 0.2577 0.5000 1
Y2 Y 0.0904 0.1809 0.2601 1

=====

# CePm15Y4 | Alexandria via LeMat-Bulk | GGA-PBE | relaxed
# E_form, kJ/mol of atoms: 3
# Size of the total moment, μB per cell: 1.1
# Electronic total energy, eV/atom: -5.125
data_CePm15Y4
_chemical_formula_sum 'Ce1 Pm15 Y4'
_cell_length_a 5.139
_cell_length_b 5.139
_cell_length_c 25.656
_cell_angle_alpha 90.00
_cell_angle_beta 90.00
_cell_angle_gamma 90.00
_symmetry_space_group_name_H-M 'P 4/m m m'
_symmetry_Int_Tables_number 123
_symmetry_space_group_name_Hall '-P 4 2'
loop_
_atom_site_label
_atom_site_type_symbol
_atom_site_fract_x
_atom_site_fract_y
_atom_site_fract_z
_atom_site_occupancy
Ce1 Ce 0.000 0.000 0.000 1
Pm1 Pm 0.000 0.500 0.099 1
Pm2 Pm 0.000 0.500 0.300 1
Pm3 Pm 0.000 0.500 0.500 1
Pm4 Pm 0.500 0.500 0.000 1
Pm5 Pm 0.500 0.500 0.201 1
Pm6 Pm 0.500 0.500 0.400 1
Y1 Y 0.000 0.000 0.200 1
Y2 Y 0.000 0.000 0.400 1

=====

# CePm3Y8 | Alexandria via LeMat-Bulk | GGA-PBE | relaxed
# E_form, kJ/mol of atoms: 59
# Size of the total moment, μB per cell: 0.0
# Electronic total energy, eV/atom: -5.378
data_CePm3Y8
_chemical_formula_sum 'Ce2 Pm6 Y16'
_cell_length_a 8.734
_cell_length_b 8.734
_cell_length_c 11.421
_cell_angle_alpha 90.00
_cell_angle_beta 90.00
_cell_angle_gamma 90.00
_symmetry_space_group_name_H-M 'I -4 2 m'
_symmetry_Int_Tables_number 121
_symmetry_space_group_name_Hall 'I -4 2'
loop_
_atom_site_label
_atom_site_type_symbol
_atom_site_fract_x
_atom_site_fract_y
_atom_site_fract_z
_atom_site_occupancy
Ce1 Ce 0.000 0.000 0.000 1
Pm1 Pm 0.000 0.000 0.500 1
Pm2 Pm 0.000 0.500 0.250 1
Y1 Y 0.125 0.125 0.763 1
Y2 Y 0.232 0.232 0.029 1

=====

# CePm6Y | Alexandria via LeMat-Bulk | GGA-PBE | relaxed
# E_form, kJ/mol of atoms: 19
# Size of the total moment, μB per cell: 1.2
# Energy above the lowest structure with this stoichiometry, eV per atom: 0.151
# Electronic total energy, eV/atom: -4.913
data_CePm6Y
_chemical_formula_sum 'Ce1 Pm6 Y1'
_cell_length_a 6.586
_cell_length_b 6.891
_cell_length_c 6.971
_cell_angle_alpha 119.32
_cell_angle_beta 99.74
_cell_angle_gamma 91.04
_symmetry_space_group_name_H-M 'P -1'
_symmetry_Int_Tables_number 2
_symmetry_space_group_name_Hall '-P 1'
loop_
_atom_site_label
_atom_site_type_symbol
_atom_site_fract_x
_atom_site_fract_y
_atom_site_fract_z
_atom_site_occupancy
Ce1 Ce 0.000 0.000 0.000 1
Pm1 Pm 0.229 0.900 0.475 1
Pm2 Pm 0.250 0.448 0.001 1
Pm3 Pm 0.266 0.427 0.523 1
Y1 Y 0.500 0.000 0.000 1

=====

# CePm6Y8 | Alexandria via LeMat-Bulk | GGA-PBE | relaxed
# E_form, kJ/mol of atoms: 12
# Size of the total moment, μB per cell: 4.0
# Electronic total energy, eV/atom: -5.620
data_CePm6Y8
_chemical_formula_sum 'Ce3 Pm18 Y24'
_cell_length_a 9.1212
_cell_length_b 9.1212
_cell_length_c 20.9439
_cell_angle_alpha 90.00
_cell_angle_beta 90.00
_cell_angle_gamma 120.00
_symmetry_space_group_name_H-M 'R -3'
_symmetry_Int_Tables_number 148
_symmetry_space_group_name_Hall '-R 3'
loop_
_atom_site_label
_atom_site_type_symbol
_atom_site_fract_x
_atom_site_fract_y
_atom_site_fract_z
_atom_site_occupancy
Ce1 Ce 0.0000 0.0000 0.0000 1
Pm1 Pm 0.0616 0.2494 0.7095 1
Y1 Y 0.0000 0.0000 0.4226 1
Y2 Y 0.0815 0.5617 0.8061 1

=====

# CePm8Y6 | Alexandria via LeMat-Bulk | GGA-PBE | relaxed
# E_form, kJ/mol of atoms: 11
# Size of the total moment, μB per cell: 3.3
# Electronic total energy, eV/atom: -5.396
data_CePm8Y6
_chemical_formula_sum 'Ce3 Pm24 Y18'
_cell_length_a 9.1400
_cell_length_b 9.1400
_cell_length_c 20.9214
_cell_angle_alpha 90.00
_cell_angle_beta 90.00
_cell_angle_gamma 120.00
_symmetry_space_group_name_H-M 'R -3'
_symmetry_Int_Tables_number 148
_symmetry_space_group_name_Hall '-R 3'
loop_
_atom_site_label
_atom_site_type_symbol
_atom_site_fract_x
_atom_site_fract_y
_atom_site_fract_z
_atom_site_occupancy
Ce1 Ce 0.0000 0.0000 0.0000 1
Pm1 Pm 0.0000 0.0000 0.4226 1
Pm2 Pm 0.0809 0.5620 0.8044 1
Y1 Y 0.0471 0.2445 0.7066 1

=====

# CePm3Y2 | Alexandria via LeMat-Bulk | GGA-PBE | relaxed
# E_form, kJ/mol of atoms: 5
# Size of the total moment, μB per cell: 3.6
# Electronic total energy, eV/atom: -5.469
data_CePm3Y2
_chemical_formula_sum 'Ce4 Pm12 Y8'
_cell_length_a 12.484
_cell_length_b 7.189
_cell_length_c 10.814
_cell_angle_alpha 90.00
_cell_angle_beta 125.18
_cell_angle_gamma 90.00
_symmetry_space_group_name_H-M 'C 1 2/m 1'
_symmetry_Int_Tables_number 12
_symmetry_space_group_name_Hall '-C 2y'
loop_
_atom_site_label
_atom_site_type_symbol
_atom_site_fract_x
_atom_site_fract_y
_atom_site_fract_z
_atom_site_occupancy
Ce1 Ce 0.000 0.250 0.000 1
Pm1 Pm 0.246 0.000 0.329 1
Pm2 Pm 0.246 0.500 0.329 1
Pm3 Pm 0.250 0.000 0.000 1
Y1 Y 0.001 0.250 0.334 1

=====

# CePm4Y8 | Alexandria via LeMat-Bulk | GGA-PBE | relaxed
# E_form, kJ/mol of atoms: 17
# Size of the total moment, μB per cell: 0.9
# Electronic total energy, eV/atom: -5.725
data_CePm4Y8
_chemical_formula_sum 'Ce3 Pm12 Y24'
_cell_length_a 7.3802
_cell_length_b 7.3802
_cell_length_c 27.0433
_cell_angle_alpha 90.00
_cell_angle_beta 90.00
_cell_angle_gamma 120.00
_symmetry_space_group_name_H-M 'R -3 m'
_symmetry_Int_Tables_number 166
_symmetry_space_group_name_Hall '-R 3 2"'
loop_
_atom_site_label
_atom_site_type_symbol
_atom_site_fract_x
_atom_site_fract_y
_atom_site_fract_z
_atom_site_occupancy
Ce1 Ce 0.0000 0.0000 0.0000 1
Pm1 Pm 0.0000 0.0000 0.5000 1
Pm2 Pm 0.0000 0.5000 0.5000 1
Y1 Y 0.0000 0.0000 0.2800 1
Y2 Y 0.0311 0.5155 0.2721 1

=====

# CePmY3 | Alexandria via LeMat-Bulk | GGA-PBE | relaxed
# E_form, kJ/mol of atoms: 5
# Size of the total moment, μB per cell: 3.0
# Energy above the lowest structure with this stoichiometry, eV per atom: 0.000
# Electronic total energy, eV/atom: -5.961
data_CePmY3
_chemical_formula_sum 'Ce4 Pm4 Y12'
_cell_length_a 7.152
_cell_length_b 3.588
_cell_length_c 25.180
_cell_angle_alpha 90.00
_cell_angle_beta 90.00
_cell_angle_gamma 90.00
_symmetry_space_group_name_H-M 'P n m a'
_symmetry_Int_Tables_number 62
_symmetry_space_group_name_Hall '-P 2ac 2n'
loop_
_atom_site_label
_atom_site_type_symbol
_atom_site_fract_x
_atom_site_fract_y
_atom_site_fract_z
_atom_site_occupancy
Ce1 Ce 0.124 0.250 0.151 1
Pm1 Pm 0.131 0.250 0.552 1
Y1 Y 0.121 0.250 0.948 1
Y2 Y 0.123 0.250 0.350 1
Y3 Y 0.127 0.250 0.750 1

=====

# CePm10Y6 | Alexandria via LeMat-Bulk | GGA-PBE | relaxed
# E_form, kJ/mol of atoms: 15
# Size of the total moment, μB per cell: 0.8
# Electronic total energy, eV/atom: -5.270
data_CePm10Y6
_chemical_formula_sum 'Ce1 Pm10 Y6'
_cell_length_a 9.8427
_cell_length_b 9.8427
_cell_length_c 6.9239
_cell_angle_alpha 90.00
_cell_angle_beta 90.00
_cell_angle_gamma 120.00
_symmetry_space_group_name_H-M 'P -3 1 m'
_symmetry_Int_Tables_number 162
_symmetry_space_group_name_Hall '-P 3 2'
loop_
_atom_site_label
_atom_site_type_symbol
_atom_site_fract_x
_atom_site_fract_y
_atom_site_fract_z
_atom_site_occupancy
Ce1 Ce 0.0000 0.0000 0.0000 1
Pm1 Pm 0.0000 0.2728 0.3162 1
Pm2 Pm 0.3333 0.6667 0.0000 1
Pm3 Pm 0.3333 0.6667 0.5000 1
Y1 Y 0.0000 0.3719 0.8074 1

=====

# CePm6Y4 | Alexandria via LeMat-Bulk | GGA-PBE | relaxed
# E_form, kJ/mol of atoms: 14
# Size of the total moment, μB per cell: 4.4
# Electronic total energy, eV/atom: -5.340
data_CePm6Y4
_chemical_formula_sum 'Ce4 Pm24 Y16'
_cell_length_a 5.862
_cell_length_b 9.712
_cell_length_c 26.040
_cell_angle_alpha 90.00
_cell_angle_beta 90.00
_cell_angle_gamma 90.00
_symmetry_space_group_name_H-M 'C m c m'
_symmetry_Int_Tables_number 63
_symmetry_space_group_name_Hall '-C 2c 2'
loop_
_atom_site_label
_atom_site_type_symbol
_atom_site_fract_x
_atom_site_fract_y
_atom_site_fract_z
_atom_site_occupancy
Ce1 Ce 0.000 0.208 0.250 1
Pm1 Pm 0.000 0.124 0.681 1
Pm2 Pm 0.000 0.199 0.101 1
Pm3 Pm 0.000 0.454 0.750 1
Pm4 Pm 0.000 0.500 0.000 1
Y1 Y 0.000 0.151 0.543 1
Y2 Y 0.000 0.458 0.624 1